Entry 1:
Density functional theory data (PBE) for crystalline Pr2H2N at its relaxed geometry.

Geometry as POSCAR:
```
Pr2H2N
1.0
5.740 0.000 -2.468
-1.213 5.585 -2.820
-0.734 -0.664 6.201
Pr H N
4 4 2
direct
0.389 0.620 0.778 Pr
0.611 0.380 0.222 Pr
0.111 0.841 0.222 Pr
0.889 0.159 0.778 Pr
0.867 0.760 0.734 H
0.133 0.240 0.266 H
0.633 0.026 0.266 H
0.367 0.974 0.734 H
0.750 0.500 0.000 N
0.250 0.500 0.000 N
```

Computed properties:
Symmetry: No. 72
Calculated total energy (eV per formula unit): -28.09

Entry 2:
Density functional theory data (PBE) for crystalline Pr8HN6 at its relaxed geometry.

Geometry as POSCAR:
```
Pr8HN6
1.0
3.721 0.000 0.000
0.000 8.516 -4.917
0.000 0.000 9.833
Pr H N
8 1 6
direct
0.748 0.965 0.328 Pr
0.748 0.672 0.637 Pr
0.748 0.363 0.035 Pr
0.252 0.035 0.672 Pr
0.252 0.328 0.363 Pr
0.252 0.637 0.965 Pr
0.751 0.333 0.667 Pr
0.249 0.667 0.333 Pr
0.500 0.000 0.000 H
0.752 0.655 0.135 N
0.752 0.865 0.521 N
0.752 0.479 0.345 N
0.248 0.345 0.865 N
0.248 0.135 0.479 N
0.248 0.521 0.655 N
```

Computed properties:
Symmetry: No. 147
Calculated total energy (eV per formula unit): -104.69

Entry 3:
Density functional theory data (PBE) for crystalline Pr3HN2 at its relaxed geometry.

Geometry as POSCAR:
```
Pr3HN2
1.0
3.588 0.000 0.000
-1.794 6.300 0.000
0.000 0.000 11.411
Pr H N
6 2 4
direct
0.611 0.222 0.083 Pr
0.106 0.212 0.750 Pr
0.611 0.222 0.417 Pr
0.894 0.788 0.250 Pr
0.389 0.778 0.917 Pr
0.389 0.778 0.583 Pr
0.224 0.449 0.250 H
0.776 0.551 0.750 H
0.000 0.000 0.000 N
0.000 0.000 0.500 N
0.508 0.016 0.250 N
0.492 0.984 0.750 N
```

Computed properties:
Symmetry: No. 63
Calculated total energy (eV per formula unit): -39.07
Distance to the lowest polymorph of the same formula (eV per atom): 0.216

Entry 4:
Density functional theory data (PBE) for crystalline Pr3HN2 at its relaxed geometry.

Geometry as POSCAR:
```
Pr3HN2
1.0
-1.892 -3.107 -0.420
-0.449 -0.426 5.176
-3.597 4.693 -2.550
Pr H N
3 1 2
direct
0.819 0.319 0.138 Pr
0.181 0.681 0.862 Pr
0.500 0.000 0.500 Pr
0.500 0.500 0.500 H
0.831 0.831 0.162 N
0.169 0.169 0.838 N
```

Computed properties:
Symmetry: No. 71
Calculated total energy (eV per formula unit): -40.37
Distance to the lowest polymorph of the same formula (eV per atom): 0.000

Entry 5:
Density functional theory data (PBE) for crystalline PrHN at its relaxed geometry.

Geometry as POSCAR:
```
PrHN
1.0
-3.735 -0.009 0.107
-0.969 -2.339 -2.422
-0.827 -2.276 2.533
Pr H N
1 1 1
direct
0.114 0.538 0.538 Pr
0.655 0.049 0.049 H
0.915 0.089 0.089 N
```

Computed properties:
Symmetry: No. 8
Calculated total energy (eV per formula unit): -18.05

Entry 6:
Density functional theory data (PBE) for crystalline PrHN at its relaxed geometry.

Geometry as POSCAR:
```
PrHN
1.0
3.414 0.000 0.000
0.000 3.414 0.000
-1.707 -1.707 9.361
Pr H N
2 2 2
direct
0.104 0.104 0.208 Pr
0.896 0.896 0.792 Pr
0.300 0.300 0.601 H
0.700 0.700 0.399 H
0.644 0.644 0.288 N
0.356 0.356 0.712 N
```

Computed properties:
Symmetry: No. 139
Calculated total energy (eV per formula unit): -18.36

Entry 7:
Density functional theory data (PBE) for crystalline PrPuHN2 at its relaxed geometry.

Geometry as POSCAR:
```
PrPuHN2
1.0
3.536 0.000 0.000
0.000 3.536 0.000
0.000 0.000 11.184
Pr Pu H N
2 2 2 4
direct
0.500 0.000 0.644 Pr
0.000 0.500 0.356 Pr
0.500 0.000 0.109 Pu
0.000 0.500 0.891 Pu
0.000 0.000 0.500 H
0.500 0.500 0.500 H
0.000 0.500 0.708 N
0.000 0.500 0.098 N
0.500 0.000 0.902 N
0.500 0.000 0.292 N
```

Computed properties:
Symmetry: No. 129
Calculated total energy (eV per formula unit): -44.54

Entry 8:
Density functional theory data (PBE) for crystalline Pr2TaHN3 at its relaxed geometry.

Geometry as POSCAR:
```
Pr2TaHN3
1.0
-2.147 -2.815 1.087
2.554 -2.649 -1.814
3.209 2.255 5.866
Pr Ta H N
2 1 1 3
direct
0.650 0.650 0.301 Pr
0.350 0.350 0.699 Pr
0.000 0.000 0.000 Ta
0.500 0.000 0.000 H
0.000 0.500 0.000 N
0.161 0.161 0.323 N
0.839 0.839 0.677 N
```

Computed properties:
Symmetry: No. 71
Calculated total energy (eV per formula unit): -57.35

| no. | magnetization (μB per formula unit) |
| --- | --- |
| 1 | 0.00 |
| 2 | 1.55 |
| 3 | 0.00 |
| 4 | 0.00 |
| 5 | 0.00 |
| 6 | 0.00 |
| 7 | 3.98 |
| 8 | 0.00 |